(1)
Density functional theory data (PBE) for TlNiPdAu after structural relaxation.

SG = No. 216
Final energy = -4.08 eV per atom
Total magnetic moment = 0.000 μB per atom

a = 4.562 Å, b = 4.562 Å, c = 4.562 Å
α = 60.00°, β = 60.00°, γ = 60.00°
Sites, in units of the cell vectors:
Tl (0.000, 0.000, 0.000)
Ni (0.250, 0.250, 0.250)
Pd (0.750, 0.750, 0.750)
Au (0.500, 0.500, 0.500)

(2)
Density functional theory data (PBE) for Hf4SbN3 after structural relaxation.

SG = No. 194
Final energy = -9.96 eV per atom
Total magnetic moment = 0.000 μB per atom

a = 3.269 Å, b = 3.269 Å, c = 24.274 Å
α = 90.00°, β = 90.00°, γ = 120.00°
Sites, in units of the cell vectors:
Hf (0.000, 0.000, 0.156)
Hf (0.000, 0.000, 0.344)
Hf (0.000, 0.000, 0.656)
Hf (0.000, 0.000, 0.844)
Hf (0.333, 0.667, 0.054)
Hf (0.333, 0.667, 0.446)
Hf (0.667, 0.333, 0.554)
Hf (0.667, 0.333, 0.946)
Sb (0.333, 0.667, 0.250)
Sb (0.667, 0.333, 0.750)
N (0.000, 0.000, 0.000)
N (0.000, 0.000, 0.500)
N (0.333, 0.667, 0.605)
N (0.333, 0.667, 0.895)
N (0.667, 0.333, 0.105)
N (0.667, 0.333, 0.395)

(3)
Density functional theory data (PBE) for AlNi after structural relaxation.

SG = No. 225
Final energy = -4.70 eV per atom
Total magnetic moment = 0.001 μB per atom

a = 3.417 Å, b = 3.417 Å, c = 3.417 Å
α = 60.00°, β = 60.00°, γ = 60.00°
Sites, in units of the cell vectors:
Al (0.000, 0.000, 0.000)
Ni (0.500, 0.500, 0.500)

(4)
Density functional theory data (PBE) for BaLiTeIr after structural relaxation.

SG = No. 216
E above lowest polymorph = 241 meV/atom
Total magnetic moment = 0.315 μB per atom

a = 5.344 Å, b = 5.344 Å, c = 5.344 Å
α = 60.00°, β = 60.00°, γ = 60.00°
Sites, in units of the cell vectors:
Ba (0.000, 0.000, 0.000)
Li (0.500, 0.500, 0.500)
Te (0.750, 0.750, 0.750)
Ir (0.250, 0.250, 0.250)

(5)
Density functional theory data (PBE) for Na4AlSnPt2 after structural relaxation.

SG = No. 115
Final energy = -3.36 eV per atom
Total magnetic moment = 0.001 μB per atom

a = 4.711 Å, b = 4.711 Å, c = 6.757 Å
α = 90.00°, β = 90.00°, γ = 90.00°
Sites, in units of the cell vectors:
Na (0.000, 0.000, 0.000)
Na (0.000, 0.500, 0.737)
Na (0.500, 0.000, 0.263)
Na (0.500, 0.500, 0.500)
Al (0.000, 0.000, 0.500)
Sn (0.500, 0.500, 0.000)
Pt (0.000, 0.500, 0.264)
Pt (0.500, 0.000, 0.736)

(6)
Density functional theory data (PBE) for Zr2CoC after structural relaxation.

SG = No. 15
Final energy = -8.73 eV per atom
Total magnetic moment = 0.002 μB per atom

a = 5.645 Å, b = 5.645 Å, c = 13.724 Å
α = 101.94°, β = 101.94°, γ = 59.96°
Sites, in units of the cell vectors:
Zr (0.036, 0.871, 0.608)
Zr (0.129, 0.964, 0.892)
Zr (0.199, 0.365, 0.096)
Zr (0.300, 0.469, 0.404)
Zr (0.365, 0.199, 0.596)
Zr (0.469, 0.300, 0.904)
Zr (0.531, 0.700, 0.096)
Zr (0.635, 0.801, 0.404)
Zr (0.700, 0.531, 0.596)
Zr (0.801, 0.635, 0.904)
Zr (0.871, 0.036, 0.108)
Zr (0.964, 0.129, 0.392)
Co (0.084, 0.403, 0.750)
Co (0.403, 0.084, 0.250)
Co (0.425, 0.575, 0.250)
Co (0.575, 0.425, 0.750)
Co (0.597, 0.916, 0.750)
Co (0.916, 0.597, 0.250)
C (0.000, 0.500, 0.500)
C (0.161, 0.677, 0.000)
C (0.323, 0.839, 0.500)
C (0.500, 0.000, 0.000)
C (0.677, 0.161, 0.500)
C (0.839, 0.323, 0.000)

(7)
Density functional theory data (PBE) for Na2HgPtSe4 after structural relaxation.

SG = No. 5
Final energy = -3.32 eV per atom
Total magnetic moment = 0.000 μB per atom

a = 6.280 Å, b = 6.280 Å, c = 7.654 Å
α = 127.53°, β = 127.53°, γ = 60.81°
Sites, in units of the cell vectors:
Na (0.000, 0.000, 0.000)
Na (0.750, 0.250, 0.500)
Hg (0.250, 0.750, 0.500)
Pt (0.500, 0.500, 0.000)
Se (0.246, 0.354, 0.045)
Se (0.308, 0.201, 0.554)
Se (0.646, 0.754, 0.955)
Se (0.799, 0.692, 0.446)

(8)
Density functional theory data (PBE) for Gd2TlCd after structural relaxation.

SG = No. 123
Final energy = -3.50 eV per atom
Total magnetic moment = 0.118 μB per atom

a = 5.363 Å, b = 5.363 Å, c = 3.794 Å
α = 90.00°, β = 90.00°, γ = 90.00°
Sites, in units of the cell vectors:
Gd (0.000, 0.500, 0.000)
Gd (0.500, 0.000, 0.000)
Tl (0.000, 0.000, 0.500)
Cd (0.500, 0.500, 0.500)

(9)
Density functional theory data (PBE) for La2NdNi6Pt3 after structural relaxation.

SG = No. 166
E_form = -0.561 eV per atom
Total magnetic moment = 0.054 μB per atom

a = 9.124 Å, b = 9.124 Å, c = 9.124 Å
α = 32.95°, β = 32.95°, γ = 32.95°
Sites, in units of the cell vectors:
La (0.137, 0.137, 0.137)
La (0.863, 0.863, 0.863)
Nd (0.000, 0.000, 0.000)
Ni (0.080, 0.583, 0.583)
Ni (0.417, 0.417, 0.920)
Ni (0.417, 0.920, 0.417)
Ni (0.583, 0.080, 0.583)
Ni (0.583, 0.583, 0.080)
Ni (0.920, 0.417, 0.417)
Pt (0.332, 0.332, 0.332)
Pt (0.500, 0.500, 0.500)
Pt (0.668, 0.668, 0.668)

(10)
Density functional theory data (PBE) for K2Cd2SbAs after structural relaxation.

SG = No. 99
Final energy = -2.54 eV per atom

a = 4.729 Å, b = 4.729 Å, c = 8.208 Å
α = 90.00°, β = 90.00°, γ = 90.00°
Sites, in units of the cell vectors:
K (0.000, 0.000, 0.000)
K (0.500, 0.500, 0.308)
Cd (0.000, 0.500, 0.640)
Cd (0.500, 0.000, 0.640)
Sb (0.500, 0.500, 0.859)
As (0.000, 0.000, 0.441)

(11)
Density functional theory data (PBE) for LaPrZn2Pb2 after structural relaxation.

SG = No. 194
E above lowest polymorph = 20 meV/atom
Total magnetic moment = 0.001 μB per atom

a = 4.714 Å, b = 4.714 Å, c = 16.838 Å
α = 90.00°, β = 90.00°, γ = 120.00°
Sites, in units of the cell vectors:
La (0.000, 0.000, 0.250)
La (0.000, 0.000, 0.750)
Pr (0.000, 0.000, 0.000)
Pr (0.000, 0.000, 0.500)
Zn (0.333, 0.667, 0.162)
Zn (0.333, 0.667, 0.338)
Zn (0.667, 0.333, 0.662)
Zn (0.667, 0.333, 0.838)
Pb (0.333, 0.667, 0.612)
Pb (0.333, 0.667, 0.888)
Pb (0.667, 0.333, 0.112)
Pb (0.667, 0.333, 0.388)

(12)
Density functional theory data (PBE) for Sc2AlSi3Pt2 after structural relaxation.

SG = No. 8
Final energy = -6.46 eV per atom
Total magnetic moment = 0.002 μB per atom

a = 5.319 Å, b = 5.319 Å, c = 6.397 Å
α = 92.48°, β = 92.48°, γ = 45.72°
Sites, in units of the cell vectors:
Sc (0.000, 0.000, 0.000)
Sc (0.153, 0.153, 0.506)
Al (0.448, 0.448, 0.305)
Si (0.454, 0.454, 0.708)
Si (0.692, 0.692, 0.805)
Si (0.701, 0.701, 0.206)
Pt (0.283, 0.283, 0.990)
Pt (0.867, 0.867, 0.519)

(13)
Density functional theory data (PBE) for NbHgO3 after structural relaxation.

SG = No. 62
Final energy = -6.56 eV per atom
Total magnetic moment = 0.000 μB per atom

a = 6.263 Å, b = 9.406 Å, c = 5.568 Å
α = 90.00°, β = 90.00°, γ = 90.00°
Sites, in units of the cell vectors:
Nb (0.071, 0.250, 0.063)
Nb (0.429, 0.750, 0.563)
Nb (0.571, 0.250, 0.437)
Nb (0.929, 0.750, 0.937)
Hg (0.000, 0.000, 0.500)
Hg (0.000, 0.500, 0.500)
Hg (0.500, 0.000, 0.000)
Hg (0.500, 0.500, 0.000)
O (0.134, 0.099, 0.870)
O (0.134, 0.401, 0.870)
O (0.229, 0.750, 0.829)
O (0.271, 0.250, 0.329)
O (0.366, 0.599, 0.370)
O (0.366, 0.901, 0.370)
O (0.634, 0.099, 0.630)
O (0.634, 0.401, 0.630)
O (0.729, 0.750, 0.671)
O (0.771, 0.250, 0.171)
O (0.866, 0.599, 0.130)
O (0.866, 0.901, 0.130)

(14)
Density functional theory data (PBE) for Tl3ReF6 after structural relaxation.

SG = No. 225
Final energy = -4.69 eV per atom
Total magnetic moment = 0.227 μB per atom

a = 6.329 Å, b = 6.329 Å, c = 6.329 Å
α = 60.00°, β = 60.00°, γ = 60.00°
Sites, in units of the cell vectors:
Tl (0.000, 0.000, 0.000)
Tl (0.250, 0.250, 0.250)
Tl (0.750, 0.750, 0.750)
Re (0.500, 0.500, 0.500)
F (0.278, 0.278, 0.722)
F (0.278, 0.722, 0.278)
F (0.278, 0.722, 0.722)
F (0.722, 0.278, 0.278)
F (0.722, 0.278, 0.722)
F (0.722, 0.722, 0.278)

(15)
Density functional theory data (PBE) for Y2FeSn after structural relaxation.

SG = No. 216
Final energy = -6.30 eV per atom
Total magnetic moment = 0.001 μB per atom

a = 4.927 Å, b = 4.927 Å, c = 4.927 Å
α = 60.00°, β = 60.00°, γ = 60.00°
Sites, in units of the cell vectors:
Y (0.000, 0.000, 0.000)
Y (0.250, 0.250, 0.250)
Fe (0.750, 0.750, 0.750)
Sn (0.500, 0.500, 0.500)

(16)
Density functional theory data (PBE) for YErAg2Te4 after structural relaxation.

SG = No. 35
Final energy = -4.57 eV per atom
Total magnetic moment = 0.000 μB per atom

a = 7.099 Å, b = 7.099 Å, c = 4.705 Å
α = 90.00°, β = 90.00°, γ = 90.17°
Sites, in units of the cell vectors:
Y (0.000, 0.000, 0.000)
Er (0.500, 0.500, 0.391)
Ag (0.000, 0.500, 0.196)
Ag (0.500, 0.000, 0.196)
Te (0.203, 0.797, 0.487)
Te (0.300, 0.300, 0.907)
Te (0.700, 0.700, 0.907)
Te (0.797, 0.203, 0.487)

(17)
Density functional theory data (PBE) for ZrAlNiC after structural relaxation.

SG = No. 187
E above lowest polymorph = 51 meV/atom
Total magnetic moment = 0.001 μB per atom

a = 3.241 Å, b = 3.241 Å, c = 12.035 Å
α = 90.00°, β = 90.00°, γ = 120.00°
Sites, in units of the cell vectors:
Zr (0.000, 0.000, 0.000)
Zr (0.333, 0.667, 0.500)
Al (0.667, 0.333, 0.196)
Al (0.667, 0.333, 0.804)
Ni (0.000, 0.000, 0.348)
Ni (0.000, 0.000, 0.652)
C (0.333, 0.667, 0.123)
C (0.333, 0.667, 0.877)

(18)
Density functional theory data (PBE) for FeReSbOs after structural relaxation.

SG = No. 216
Final energy = -8.44 eV per atom
Total magnetic moment = 0.495 μB per atom

a = 4.427 Å, b = 4.427 Å, c = 4.427 Å
α = 60.00°, β = 60.00°, γ = 60.00°
Sites, in units of the cell vectors:
Fe (0.000, 0.000, 0.000)
Re (0.500, 0.500, 0.500)
Sb (0.750, 0.750, 0.750)
Os (0.250, 0.250, 0.250)